No. 1
Below is NaTcSe2 after structural relaxation, with properties calculated at the PBE level.

Cell: 9.414 9.414 9.414 Å, 19.17 19.17 19.17°
Fractional positions:
1 Tc 0.000 0.000 0.000
2 Na 0.500 0.500 0.500
3 Se 0.086 0.086 0.086
4 Se 0.914 0.914 0.914

Computed properties:
- ΔE_f (raw) (eV/atom) = 0.203
- symmetry = R-3m
- DFT total energy (eV per atom) = -4.46
- energy relative to the lowest polymorph listed for this composition (meV per atom) = 536
- total magnetization (μB/f.u.) = 0.000


No. 2
Below is NaTc3Se after structural relaxation, with properties calculated at the PBE level.

Cell: 4.577 4.577 4.577 Å, 90.00 90.00 90.00°
Each line ends with the local moment (μB).
Fractional positions:
1 Tc 0.000 0.000 0.500  1.48
2 Tc 0.000 0.500 0.000  1.43
3 Tc 0.500 0.000 0.000  1.49
4 Na 0.000 0.000 0.000  0.03
5 Se 0.500 0.500 0.500  -0.12

Computed properties:
- ΔE_f (raw) (eV/atom) = 2.577
- symmetry = Pm-3m
- DFT total energy (eV per atom) = -4.60
- energy relative to the lowest polymorph listed for this composition (meV per atom) = 1454
- total magnetization (μB/f.u.) = 4.747


No. 3
Below is NaTc2Se after structural relaxation, with properties calculated at the PBE level.

Cell: 3.981 3.981 10.001 Å, 78.52 78.52 90.00°
Fractional positions:
1 Na 0.500 0.500 0.000
2 Na 0.250 0.750 0.500
3 Se 0.000 0.000 0.000
4 Se 0.750 0.250 0.500
5 Tc 0.720 0.625 0.250
6 Tc 0.875 0.280 0.750
7 Tc 0.375 0.970 0.750
8 Tc 0.030 0.125 0.250

Computed properties:
- ΔE_f (raw) (eV/atom) = 0.485
- symmetry = I-42d
- DFT total energy (eV per atom) = -5.90
- total magnetization (μB/f.u.) = 0.000


No. 4
Below is NaTcSe2 after structural relaxation, with properties calculated at the PBE level.

Cell: 4.569 4.569 4.569 Å, 60.00 60.00 60.00°
Fractional positions:
1 Se 0.250 0.250 0.250
2 Se 0.750 0.750 0.750
3 Na 0.000 0.000 0.000
4 Tc 0.500 0.500 0.500

Computed properties:
- ΔE_f (raw) (eV/atom) = -0.137
- symmetry = Fm-3m
- DFT total energy (eV per atom) = -4.80
- energy relative to the lowest polymorph listed for this composition (meV per atom) = 195
- total magnetization (μB/f.u.) = 0.000


No. 5
Below is NaTcSe3 after structural relaxation, with properties calculated at the PBE level.

Cell: 4.985 4.985 4.985 Å, 90.00 90.00 90.00°
Each line ends with the local moment (μB).
Fractional positions:
1 Na 0.500 0.500 0.500  0.01
2 Se 0.000 0.500 0.000  0.07
3 Se 0.500 0.000 0.000  0.02
4 Se 0.000 0.000 0.500  0.01
5 Tc 0.000 0.000 0.000  1.09

Computed properties:
- ΔE_f (raw) (eV/atom) = -0.076
- symmetry = Pm-3m
- DFT total energy (eV per atom) = -4.50
- energy relative to the lowest polymorph listed for this composition (meV per atom) = 0
- total magnetization (μB/f.u.) = 1.427


No. 6
Below is NaTcSe2 after structural relaxation, with properties calculated at the PBE level.

Cell: 8.719 8.719 8.719 Å, 24.35 24.35 24.35°
Each line ends with the local moment (μB).
Fractional positions:
1 Se 0.109 0.109 0.109  0.04
2 Se 0.891 0.891 0.891  0.04
3 Na 0.000 0.000 0.000  0.01
4 Tc 0.500 0.500 0.500  1.64

Computed properties:
- ΔE_f (raw) (eV/atom) = -0.286
- symmetry = R-3m
- DFT total energy (eV per atom) = -4.95
- energy relative to the lowest polymorph listed for this composition (meV per atom) = 46
- total magnetization (μB/f.u.) = 2.000


No. 7
Below is NaTcSe2 after structural relaxation, with properties calculated at the PBE level.

Cell: 6.387 6.387 7.065 Å, 63.13 63.13 90.00°
Fractional positions:
1 Na 0.500 0.500 0.000
2 Na 0.250 0.750 0.500
3 Se 0.053 0.625 0.250
4 Se 0.697 0.125 0.250
5 Se 0.875 0.947 0.750
6 Se 0.375 0.303 0.750
7 Tc 0.000 0.000 0.000
8 Tc 0.750 0.250 0.500

Computed properties:
- ΔE_f (raw) (eV/atom) = -0.332
- symmetry = I-42d
- DFT total energy (eV per atom) = -5.00
- energy relative to the lowest polymorph listed for this composition (meV per atom) = 0
- total magnetization (μB/f.u.) = 0.000


No. 8
Below is NaTc3Se after structural relaxation, with properties calculated at the PBE level.

Cell: 4.621 4.621 4.621 Å, 90.00 90.00 90.00°
Each line ends with the local moment (μB).
Fractional positions:
1 Tc 0.000 0.000 0.500  0.54
2 Tc 0.500 0.000 0.000  0.46
3 Tc 0.000 0.500 0.000  0.55
4 Na 0.500 0.500 0.500  -0.01
5 Se 0.000 0.000 0.000  -0.03

Computed properties:
- ΔE_f (raw) (eV/atom) = 1.123
- symmetry = Pm-3m
- DFT total energy (eV per atom) = -6.06
- energy relative to the lowest polymorph listed for this composition (meV per atom) = 0
- total magnetization (μB/f.u.) = 1.621


No. 9
Below is Na2TcSe after structural relaxation, with properties calculated at the PBE level.

Cell: 10.049 10.049 7.486 Å, 47.84 47.84 90.00°
Each line ends with the local moment (μB).
Fractional positions:
1 Tc 0.750 0.250 0.500  1.82
2 Tc 0.000 0.000 0.000  1.82
3 Na 0.497 0.125 0.250  -0.01
4 Na 0.253 0.625 0.250  -0.01
5 Na 0.375 0.503 0.750  -0.01
6 Na 0.875 0.747 0.750  -0.01
7 Se 0.250 0.750 0.500  0.00
8 Se 0.500 0.500 0.000  0.00

Computed properties:
- ΔE_f (raw) (eV/atom) = 0.345
- symmetry = I-42d
- DFT total energy (eV per atom) = -3.78
- total magnetization (μB/f.u.) = 2.093


No. 10
Below is NaTc4Se8 after structural relaxation, with properties calculated at the PBE level.

Cell: 6.410 6.410 9.207 Å, 90.00 110.37 120.00°
Fractional positions:
1 Se 0.972 0.236 0.208
2 Se 0.527 0.263 0.790
3 Se 0.028 0.764 0.792
4 Se 0.528 0.764 0.792
5 Se 0.028 0.264 0.792
6 Se 0.473 0.737 0.210
7 Se 0.972 0.736 0.208
8 Se 0.472 0.236 0.208
9 Tc 0.500 0.500 0.000
10 Tc 0.000 0.000 0.000
11 Tc 0.500 0.000 0.000
12 Tc 0.000 0.500 0.000
13 Na 0.000 0.500 0.500

Computed properties:
- ΔE_f (raw) (eV/atom) = -0.294
- symmetry = R-3m
- DFT total energy (eV per atom) = -5.73
- total magnetization (μB/f.u.) = 0.000


No. 11
Below is Na3TcSe after structural relaxation, with properties calculated at the PBE level.

Cell: 5.629 5.629 5.629 Å, 90.00 90.00 90.00°
Each line ends with the local moment (μB).
Fractional positions:
1 Na 0.000 0.000 0.500  -0.01
2 Na 0.500 0.000 0.000  0.01
3 Na 0.000 0.500 0.000  0.00
4 Tc 0.000 0.000 0.000  3.07
5 Se 0.500 0.500 0.500  0.17

Computed properties:
- ΔE_f (raw) (eV/atom) = 0.994
- symmetry = Pm-3m
- DFT total energy (eV per atom) = -2.57
- energy relative to the lowest polymorph listed for this composition (meV per atom) = 499
- total magnetization (μB/f.u.) = 4.000


No. 12
Below is Na3TcSe after structural relaxation, with properties calculated at the PBE level.

Cell: 5.485 5.485 5.485 Å, 90.00 90.00 90.00°
Each line ends with the local moment (μB).
Fractional positions:
1 Na 0.000 0.500 0.000  -0.01
2 Na 0.500 0.000 0.000  0.00
3 Na 0.000 0.000 0.500  -0.01
4 Se 0.000 0.000 0.000  0.02
5 Tc 0.500 0.500 0.500  3.44

Computed properties:
- ΔE_f (raw) (eV/atom) = 0.495
- symmetry = Pm-3m
- DFT total energy (eV per atom) = -3.07
- energy relative to the lowest polymorph listed for this composition (meV per atom) = 0
- total magnetization (μB/f.u.) = 4.003


No. 13
Below is NaTi2TcSe after structural relaxation, with properties calculated at the PBE level.

Cell: 4.794 4.619 4.794 Å, 90.00 90.00 90.00°
Each line ends with the local moment (μB).
Fractional positions:
1 Ti 0.000 0.000 0.500  0.54
2 Ti 0.500 0.000 0.000  0.61
3 Tc 0.000 0.500 0.000  -0.08
4 Na 0.500 0.500 0.500  0.00
5 Se 0.000 0.000 0.000  0.00

Computed properties:
- ΔE_f (raw) (eV/atom) = 0.519
- symmetry = P4/mmm
- DFT total energy (eV per atom) = -5.67
- total magnetization (μB/f.u.) = 1.492


No. 14
Below is NaTe2Se2 after structural relaxation, with properties calculated at the PBE level.

Cell: 8.432 8.432 4.470 Å, 90.00 90.00 90.00°
Fractional positions:
1 Se 0.308 0.808 0.000
2 Se 0.808 0.692 0.000
3 Se 0.692 0.192 0.000
4 Se 0.192 0.308 0.000
5 Te 0.314 0.186 0.500
6 Te 0.814 0.314 0.500
7 Te 0.186 0.686 0.500
8 Te 0.686 0.814 0.500
9 Na 0.500 0.500 0.000
10 Na 0.000 0.000 0.000

Computed properties:
- ΔE_f (raw) (eV/atom) = -0.191
- symmetry = P4/mbm
- DFT total energy (eV per atom) = -3.11
- energy relative to the lowest polymorph listed for this composition (meV per atom) = 15
- total magnetization (μB/f.u.) = 0.000


No. 15
Below is Na2TeSe2 after structural relaxation, with properties calculated at the PBE level.

Cell: 4.503 7.529 8.718 Å, 90.00 104.97 90.00°
Fractional positions:
1 Se 0.229 0.173 0.457
2 Se 0.546 0.567 0.092
3 Se 0.771 0.673 0.543
4 Se 0.454 0.067 0.908
5 Na 0.823 0.048 0.646
6 Na 0.953 0.722 0.907
7 Na 0.047 0.222 0.093
8 Na 0.177 0.548 0.354
9 Te 0.638 0.856 0.276
10 Te 0.362 0.356 0.724

Computed properties:
- ΔE_f (raw) (eV/atom) = -0.603
- symmetry = Cmc2_1
- DFT total energy (eV per atom) = -3.15
- energy relative to the lowest polymorph listed for this composition (meV per atom) = 18
- total magnetization (μB/f.u.) = 0.000


No. 16
Below is NaTe2Se after structural relaxation, with properties calculated at the PBE level.

Cell: 6.441 6.441 8.964 Å, 68.94 68.94 90.00°
Fractional positions:
1 Te 0.682 0.125 0.250
2 Te 0.375 0.318 0.750
3 Te 0.875 0.932 0.750
4 Te 0.068 0.625 0.250
5 Se 0.000 0.000 0.000
6 Se 0.750 0.250 0.500
7 Na 0.500 0.500 0.000
8 Na 0.250 0.750 0.500

Computed properties:
- ΔE_f (raw) (eV/atom) = -0.101
- symmetry = I-42d
- DFT total energy (eV per atom) = -2.87
- total magnetization (μB/f.u.) = 0.000


No. 17
Below is Na2TeSe after structural relaxation, with properties calculated at the PBE level.

Cell: 5.247 5.247 5.247 Å, 60.00 60.00 60.00°
Fractional positions:
1 Na 0.750 0.750 0.750
2 Na 0.250 0.250 0.250
3 Se 0.000 0.000 0.000
4 Te 0.500 0.500 0.500

Computed properties:
- ΔE_f (raw) (eV/atom) = -0.542
- symmetry = Fm-3m
- DFT total energy (eV per atom) = -2.86
- energy relative to the lowest polymorph listed for this composition (meV per atom) = 194
- total magnetization (μB/f.u.) = 0.000


No. 18
Below is NaTeSe3 after structural relaxation, with properties calculated at the PBE level.

Cell: 5.114 5.114 5.114 Å, 90.00 90.00 90.00°
Fractional positions:
1 Se 0.500 0.000 0.000
2 Se 0.000 0.500 0.000
3 Se 0.000 0.000 0.500
4 Na 0.000 0.000 0.000
5 Te 0.500 0.500 0.500

Computed properties:
- ΔE_f (raw) (eV/atom) = 0.677
- symmetry = Pm-3m
- DFT total energy (eV per atom) = -2.31
- energy relative to the lowest polymorph listed for this composition (meV per atom) = 977
- total magnetization (μB/f.u.) = 0.000


No. 19
Below is Na3TeSe3 after structural relaxation, with properties calculated at the PBE level.

Cell: 5.987 9.269 9.269 Å, 120.00 90.00 90.00°
Each line ends with the local moment (μB).
Fractional positions:
1 Na 0.250 0.056 0.705  0.00
2 Na 0.250 0.295 0.351  0.00
3 Na 0.250 0.649 0.944  0.00
4 Na 0.750 0.351 0.056  0.00
5 Na 0.750 0.705 0.649  0.00
6 Na 0.750 0.944 0.295  0.00
7 Se 0.750 0.059 0.696  0.12
8 Se 0.750 0.637 0.941  0.12
9 Se 0.250 0.696 0.637  0.12
10 Se 0.250 0.363 0.059  0.12
11 Se 0.250 0.941 0.304  0.12
12 Se 0.750 0.304 0.363  0.12
13 Te 0.750 0.333 0.667  0.21
14 Te 0.250 0.667 0.333  0.21

Computed properties:
- ΔE_f (raw) (eV/atom) = -0.608
- symmetry = P6_3/m
- DFT total energy (eV per atom) = -3.12
- energy relative to the lowest polymorph listed for this composition (meV per atom) = 20
- total magnetization (μB/f.u.) = 0.994


No. 20
Below is Na6Te2Se after structural relaxation, with properties calculated at the PBE level.

Cell: 5.057 7.203 8.789 Å, 114.19 106.72 90.00°
Fractional positions:
1 Na 0.161 0.919 0.321
2 Na 0.500 0.764 0.000
3 Na 0.839 0.081 0.679
4 Na 0.839 0.598 0.679
5 Na 0.500 0.236 0.000
6 Na 0.161 0.402 0.321
7 Te 0.666 0.666 0.331
8 Te 0.334 0.334 0.669
9 Se 0.000 0.000 0.000

Computed properties:
- ΔE_f (raw) (eV/atom) = -0.970
- symmetry = Immm
- DFT total energy (eV per atom) = -2.93
- total magnetization (μB/f.u.) = 0.000